Crystalline Ba6Na2V2Ru2O17 at its relaxed geometry, computed with PBE+U.

Cell lengths 5.9411, 5.9411, 30.2078 Å; angles 90.00, 90.00, 120.00 degrees
Closest atoms and distances in Å follow each position.
Fractional coordinates of all 58 atoms:
Ba 0.0000 0.0000 0.0000  6 O 2.84
Ba 0.0000 0.0000 0.2500  12 O 2.97-3.02
Ba 0.0000 0.0000 0.5000  6 O 2.84
Ba 0.0000 0.0000 0.7500  12 O 2.97-3.02
Ba 0.3333 0.6667 0.0927  4 O 2.64-2.84
Ba 0.3333 0.6667 0.4073  4 O 2.64-2.84
Ba 0.3333 0.6667 0.6809  9 O 2.79-2.99
Ba 0.3333 0.6667 0.8191  9 O 2.79-2.99
Ba 0.6667 0.3333 0.1809  9 O 2.79-2.99
Ba 0.6667 0.3333 0.3191  9 O 2.79-2.99
Ba 0.6667 0.3333 0.5927  4 O 2.64-2.84
Ba 0.6667 0.3333 0.9073  4 O 2.64-2.84
Na 0.0000 0.0000 0.1240  6 O 2.29-2.38
Na 0.0000 0.0000 0.3760  6 O 2.29-2.38
Na 0.0000 0.0000 0.6240  6 O 2.29-2.38
Na 0.0000 0.0000 0.8760  6 O 2.29-2.38
V 0.3333 0.6667 0.5520  4 O 1.73-1.75
V 0.3333 0.6667 0.9480  4 O 1.73-1.75
V 0.6667 0.3333 0.0520  4 O 1.73-1.75
V 0.6667 0.3333 0.4480  4 O 1.73-1.75
Ru 0.3333 0.6667 0.2038  6 O 1.90-2.10
Ru 0.3333 0.6667 0.2962  6 O 1.90-2.10
Ru 0.6667 0.3333 0.7038  6 O 1.90-2.10
Ru 0.6667 0.3333 0.7962  6 O 1.90-2.10
O 0.0280 0.5140 0.2500  2 Ru 2.10
O 0.1747 0.3495 0.5726  1 V 1.75
O 0.1747 0.3495 0.9274  1 V 1.75
O 0.1747 0.8253 0.5726  1 V 1.75
O 0.1747 0.8253 0.9274  1 V 1.75
O 0.1769 0.3538 0.1703  1 Ru 1.90
O 0.1769 0.3538 0.3297  1 Ru 1.90
O 0.1769 0.8231 0.1703  1 Ru 1.90
O 0.1769 0.8231 0.3297  1 Ru 1.90
O 0.3333 0.6667 0.0052  1 V 1.73
O 0.3333 0.6667 0.4948  1 V 1.73
O 0.3495 0.1747 0.0726  1 V 1.75
O 0.3495 0.1747 0.4274  1 V 1.75
O 0.3538 0.1769 0.6703  1 Ru 1.90
O 0.3538 0.1769 0.8297  1 Ru 1.90
O 0.4860 0.5140 0.2500  2 Ru 2.10
O 0.4860 0.9720 0.2500  2 Ru 2.10
O 0.5140 0.0280 0.7500  2 Ru 2.10
O 0.5140 0.4860 0.7500  2 Ru 2.10
O 0.6462 0.8231 0.1703  1 Ru 1.90
O 0.6462 0.8231 0.3297  1 Ru 1.90
O 0.6505 0.8253 0.5726  1 V 1.75
O 0.6505 0.8253 0.9274  1 V 1.75
O 0.6667 0.3333 0.5052  1 V 1.73
O 0.6667 0.3333 0.9948  1 V 1.73
O 0.8231 0.1769 0.6703  1 Ru 1.90
O 0.8231 0.1769 0.8297  1 Ru 1.90
O 0.8231 0.6462 0.6703  1 Ru 1.90
O 0.8231 0.6462 0.8297  1 Ru 1.90
O 0.8253 0.1747 0.0726  1 V 1.75
O 0.8253 0.1747 0.4274  1 V 1.75
O 0.8253 0.6505 0.0726  1 V 1.75
O 0.8253 0.6505 0.4274  1 V 1.75
O 0.9720 0.4860 0.7500  2 Ru 2.10

Values from the calculation:
- VASP energy (Ry per atom) = -0.495
- density (Mg/m³) = 5.20